Record 1
# GGA-PBE LiHfU2P4, relaxed
# SG: P2/m, No. 10
data_LiHfU2P4
_symmetry_space_group_name_H-M 'P 1'
_symmetry_Int_Tables_number 1
_cell_length_a 3.853
_cell_length_b 6.717
_cell_length_c 6.527
_cell_angle_alpha 109.94
_cell_angle_beta 90.00
_cell_angle_gamma 90.00
loop_
_symmetry_equiv_pos_as_xyz
'x,y,z'
loop_
_atom_site_label
_atom_site_type_symbol
_atom_site_fract_x
_atom_site_fract_y
_atom_site_fract_z
Li1 Li 0.500 0.500 0.000
Hf1 Hf 0.000 0.000 0.000
U1 U 0.500 0.000 0.500
U2 U 0.000 0.500 0.500
P1 P 0.500 0.244 0.237
P2 P 0.500 0.756 0.763
P3 P 0.000 0.247 0.758
P4 P 0.000 0.753 0.242

Record 2
# GGA-PBE LiHf2ZrP4, relaxed
# SG: P2/m, No. 10
data_LiHf2ZrP4
_symmetry_space_group_name_H-M 'P 1'
_symmetry_Int_Tables_number 1
_cell_length_a 3.713
_cell_length_b 6.432
_cell_length_c 6.443
_cell_angle_alpha 108.98
_cell_angle_beta 90.00
_cell_angle_gamma 90.00
loop_
_symmetry_equiv_pos_as_xyz
'x,y,z'
loop_
_atom_site_label
_atom_site_type_symbol
_atom_site_fract_x
_atom_site_fract_y
_atom_site_fract_z
Li1 Li 0.500 0.500 0.000
Hf1 Hf 0.500 0.000 0.500
Hf2 Hf 0.000 0.500 0.500
Zr1 Zr 0.000 0.000 0.000
P1 P 0.500 0.255 0.251
P2 P 0.500 0.745 0.749
P3 P 0.000 0.250 0.747
P4 P 0.000 0.750 0.253

Record 3
# GGA-PBE LiHfZr2P4, relaxed
# SG: P2/m, No. 10
data_LiHfZr2P4
_symmetry_space_group_name_H-M 'P 1'
_symmetry_Int_Tables_number 1
_cell_length_a 3.727
_cell_length_b 6.452
_cell_length_c 6.441
_cell_angle_alpha 109.05
_cell_angle_beta 90.00
_cell_angle_gamma 90.00
loop_
_symmetry_equiv_pos_as_xyz
'x,y,z'
loop_
_atom_site_label
_atom_site_type_symbol
_atom_site_fract_x
_atom_site_fract_y
_atom_site_fract_z
Li1 Li 0.500 0.500 0.000
Hf1 Hf 0.000 0.000 0.000
Zr1 Zr 0.500 0.000 0.500
Zr2 Zr 0.000 0.500 0.500
P1 P 0.500 0.251 0.244
P2 P 0.500 0.749 0.756
P3 P 0.000 0.250 0.753
P4 P 0.000 0.750 0.247

Record 4
# GGA-PBE LiHfPa, relaxed
# SG: Pnma, No. 62
data_LiHfPa
_symmetry_space_group_name_H-M 'P 1'
_symmetry_Int_Tables_number 1
_cell_length_a 3.097
_cell_length_b 5.686
_cell_length_c 14.333
_cell_angle_alpha 90.00
_cell_angle_beta 90.00
_cell_angle_gamma 90.00
loop_
_symmetry_equiv_pos_as_xyz
'x,y,z'
loop_
_atom_site_label
_atom_site_type_symbol
_atom_site_fract_x
_atom_site_fract_y
_atom_site_fract_z
Pa1 Pa 0.750 0.064 0.896
Pa2 Pa 0.250 0.436 0.396
Pa3 Pa 0.750 0.564 0.604
Pa4 Pa 0.250 0.936 0.104
Li1 Li 0.250 0.890 0.464
Li2 Li 0.750 0.110 0.536
Li3 Li 0.250 0.390 0.036
Li4 Li 0.750 0.610 0.964
Hf1 Hf 0.250 0.550 0.794
Hf2 Hf 0.750 0.950 0.294
Hf3 Hf 0.250 0.050 0.706
Hf4 Hf 0.750 0.450 0.206

Record 5
# GGA-PBE LiHfPaRe, relaxed
# SG: F-43m, No. 216
data_LiHfPaRe
_symmetry_space_group_name_H-M 'P 1'
_symmetry_Int_Tables_number 1
_cell_length_a 4.781
_cell_length_b 4.781
_cell_length_c 4.781
_cell_angle_alpha 60.00
_cell_angle_beta 60.00
_cell_angle_gamma 60.00
loop_
_symmetry_equiv_pos_as_xyz
'x,y,z'
loop_
_atom_site_label
_atom_site_type_symbol
_atom_site_fract_x
_atom_site_fract_y
_atom_site_fract_z
Re1 Re 0.750 0.750 0.750
Pa1 Pa 0.500 0.500 0.500
Hf1 Hf 0.000 0.000 0.000
Li1 Li 0.250 0.250 0.250

Record 6
# GGA-PBE Li3Hf2PaS6, relaxed
# raw formation energy: -1487 meV per atom
# SG: C2/m, No. 12
data_Li3Hf2PaS6
_symmetry_space_group_name_H-M 'P 1'
_symmetry_Int_Tables_number 1
_cell_length_a 6.312
_cell_length_b 6.312
_cell_length_c 6.677
_cell_angle_alpha 99.08
_cell_angle_beta 99.08
_cell_angle_gamma 120.02
loop_
_symmetry_equiv_pos_as_xyz
'x,y,z'
loop_
_atom_site_label
_atom_site_type_symbol
_atom_site_fract_x
_atom_site_fract_y
_atom_site_fract_z
Li1 Li 0.166 0.834 0.500
Li2 Li 0.834 0.166 0.500
Li3 Li 0.500 0.500 0.500
Hf1 Hf 0.333 0.667 0.000
Hf2 Hf 0.667 0.333 0.000
Pa1 Pa 0.000 0.000 0.000
S1 S 0.916 0.571 0.748
S2 S 0.739 0.739 0.252
S3 S 0.084 0.429 0.252
S4 S 0.571 0.916 0.748
S5 S 0.261 0.261 0.748
S6 S 0.429 0.084 0.252

Record 7
# GGA-PBE LiHfPaS4, relaxed
# raw formation energy: -1534 meV per atom
# SG: Imma, No. 74
data_LiHfPaS4
_symmetry_space_group_name_H-M 'P 1'
_symmetry_Int_Tables_number 1
_cell_length_a 7.365
_cell_length_b 7.661
_cell_length_c 7.661
_cell_angle_alpha 63.68
_cell_angle_beta 61.27
_cell_angle_gamma 61.27
loop_
_symmetry_equiv_pos_as_xyz
'x,y,z'
loop_
_atom_site_label
_atom_site_type_symbol
_atom_site_fract_x
_atom_site_fract_y
_atom_site_fract_z
Li1 Li 0.639 0.611 0.111
Li2 Li 0.361 0.389 0.889
Hf1 Hf 0.500 0.000 0.500
Hf2 Hf 0.000 0.000 0.500
Pa1 Pa 0.000 0.000 0.000
Pa2 Pa 0.000 0.500 0.500
S1 S 0.747 0.778 0.728
S2 S 0.253 0.772 0.722
S3 S 0.747 0.228 0.278
S4 S 0.253 0.222 0.272
S5 S 0.238 0.759 0.259
S6 S 0.744 0.759 0.259
S7 S 0.256 0.241 0.741
S8 S 0.762 0.241 0.741

Record 8
# GGA-PBE Li3HfPa3S8, relaxed
# raw formation energy: -1496 meV per atom
# SG: R-3m, No. 166
data_Li3HfPa3S8
_symmetry_space_group_name_H-M 'P 1'
_symmetry_Int_Tables_number 1
_cell_length_a 7.599
_cell_length_b 7.599
_cell_length_c 7.720
_cell_angle_alpha 119.49
_cell_angle_beta 90.00
_cell_angle_gamma 120.00
loop_
_symmetry_equiv_pos_as_xyz
'x,y,z'
loop_
_atom_site_label
_atom_site_type_symbol
_atom_site_fract_x
_atom_site_fract_y
_atom_site_fract_z
Li1 Li 0.000 0.000 0.000
Li2 Li 0.000 0.500 0.000
Li3 Li 0.500 0.500 0.000
Hf1 Hf 0.000 0.000 0.500
Pa1 Pa 0.500 0.000 0.500
Pa2 Pa 0.500 0.500 0.500
Pa3 Pa 0.000 0.500 0.500
S1 S 0.244 0.488 0.232
S2 S 0.756 0.512 0.768
S3 S 0.761 0.521 0.254
S4 S 0.239 0.479 0.746
S5 S 0.761 0.993 0.254
S6 S 0.239 0.007 0.746
S7 S 0.233 0.993 0.254
S8 S 0.767 0.007 0.746

Record 9
# GGA-PBE Li2Hf2PaS6, relaxed
# raw formation energy: -1516 meV per atom
# SG: C2/m, No. 12
data_Li2Hf2PaS6
_symmetry_space_group_name_H-M 'P 1'
_symmetry_Int_Tables_number 1
_cell_length_a 6.373
_cell_length_b 6.373
_cell_length_c 6.650
_cell_angle_alpha 99.24
_cell_angle_beta 99.24
_cell_angle_gamma 120.25
loop_
_symmetry_equiv_pos_as_xyz
'x,y,z'
loop_
_atom_site_label
_atom_site_type_symbol
_atom_site_fract_x
_atom_site_fract_y
_atom_site_fract_z
Li1 Li 0.834 0.166 0.000
Li2 Li 0.166 0.834 0.000
Hf1 Hf 0.334 0.666 0.500
Hf2 Hf 0.666 0.334 0.500
Pa1 Pa 0.000 0.000 0.500
S1 S 0.739 0.739 0.747
S2 S 0.080 0.427 0.746
S3 S 0.261 0.261 0.253
S4 S 0.427 0.080 0.746
S5 S 0.920 0.573 0.254
S6 S 0.573 0.920 0.254

Record 10
# GGA-PBE Li4HfPa3S8, relaxed
# raw formation energy: -1467 meV per atom
# SG: R-3m, No. 166
data_Li4HfPa3S8
_symmetry_space_group_name_H-M 'P 1'
_symmetry_Int_Tables_number 1
_cell_length_a 7.447
_cell_length_b 7.727
_cell_length_c 7.447
_cell_angle_alpha 118.82
_cell_angle_beta 120.00
_cell_angle_gamma 90.00
loop_
_symmetry_equiv_pos_as_xyz
'x,y,z'
loop_
_atom_site_label
_atom_site_type_symbol
_atom_site_fract_x
_atom_site_fract_y
_atom_site_fract_z
Li1 Li 0.500 0.000 0.000
Li2 Li 0.500 0.000 0.500
Li3 Li 0.000 0.000 0.000
Li4 Li 0.000 0.000 0.500
Hf1 Hf 0.000 0.500 0.000
Pa1 Pa 0.500 0.500 0.000
Pa2 Pa 0.500 0.500 0.500
Pa3 Pa 0.000 0.500 0.500
S1 S 0.245 0.755 0.010
S2 S 0.245 0.755 0.490
S3 S 0.243 0.229 0.486
S4 S 0.765 0.755 0.010
S5 S 0.235 0.245 0.990
S6 S 0.757 0.771 0.514
S7 S 0.755 0.245 0.510
S8 S 0.755 0.245 0.990

Record 11
# GGA-PBE Li2HfPaSe4, relaxed
# raw formation energy: -1266 meV per atom
# SG: P2/m, No. 10
data_Li2HfPaSe4
_symmetry_space_group_name_H-M 'P 1'
_symmetry_Int_Tables_number 1
_cell_length_a 3.825
_cell_length_b 6.654
_cell_length_c 7.071
_cell_angle_alpha 107.89
_cell_angle_beta 90.00
_cell_angle_gamma 90.00
loop_
_symmetry_equiv_pos_as_xyz
'x,y,z'
loop_
_atom_site_label
_atom_site_type_symbol
_atom_site_fract_x
_atom_site_fract_y
_atom_site_fract_z
Li1 Li 0.500 0.000 0.500
Li2 Li 0.000 0.500 0.500
Hf1 Hf 0.500 0.500 0.000
Pa1 Pa 0.000 0.000 0.000
Se1 Se 0.500 0.268 0.263
Se2 Se 0.500 0.732 0.737
Se3 Se 0.000 0.264 0.750
Se4 Se 0.000 0.736 0.250

Record 12
# GGA-PBE Li2Hf2PaSe6, relaxed
# raw formation energy: -1300 meV per atom
# SG: C2/m, No. 12
data_Li2Hf2PaSe6
_symmetry_space_group_name_H-M 'P 1'
_symmetry_Int_Tables_number 1
_cell_length_a 6.627
_cell_length_b 6.627
_cell_length_c 7.009
_cell_angle_alpha 99.05
_cell_angle_beta 99.05
_cell_angle_gamma 120.21
loop_
_symmetry_equiv_pos_as_xyz
'x,y,z'
loop_
_atom_site_label
_atom_site_type_symbol
_atom_site_fract_x
_atom_site_fract_y
_atom_site_fract_z
Li1 Li 0.836 0.164 0.000
Li2 Li 0.164 0.836 0.000
Hf1 Hf 0.334 0.666 0.500
Hf2 Hf 0.666 0.334 0.500
Pa1 Pa 0.000 0.000 0.500
Se1 Se 0.735 0.735 0.750
Se2 Se 0.083 0.429 0.750
Se3 Se 0.265 0.265 0.250
Se4 Se 0.429 0.083 0.750
Se5 Se 0.917 0.571 0.250
Se6 Se 0.571 0.917 0.250

Record 13
# GGA-PBE Li4HfPa3Se8, relaxed
# raw formation energy: -1264 meV per atom
# SG: R-3m, No. 166
data_Li4HfPa3Se8
_symmetry_space_group_name_H-M 'P 1'
_symmetry_Int_Tables_number 1
_cell_length_a 7.783
_cell_length_b 8.118
_cell_length_c 7.782
_cell_angle_alpha 118.65
_cell_angle_beta 120.00
_cell_angle_gamma 90.00
loop_
_symmetry_equiv_pos_as_xyz
'x,y,z'
loop_
_atom_site_label
_atom_site_type_symbol
_atom_site_fract_x
_atom_site_fract_y
_atom_site_fract_z
Li1 Li 0.500 0.000 0.000
Li2 Li 0.500 0.000 0.500
Li3 Li 0.000 0.000 0.000
Li4 Li 0.000 0.000 0.500
Hf1 Hf 0.000 0.500 0.000
Pa1 Pa 0.500 0.500 0.000
Pa2 Pa 0.500 0.500 0.500
Pa3 Pa 0.000 0.500 0.500
Se1 Se 0.245 0.757 0.012
Se2 Se 0.245 0.757 0.490
Se3 Se 0.243 0.228 0.486
Se4 Se 0.767 0.757 0.012
Se5 Se 0.233 0.243 0.988
Se6 Se 0.757 0.772 0.514
Se7 Se 0.755 0.243 0.510
Se8 Se 0.755 0.243 0.988

Record 14
# GGA-PBE LiHfPaSe4, relaxed
# raw formation energy: -1301 meV per atom
# SG: Imma, No. 74
data_LiHfPaSe4
_symmetry_space_group_name_H-M 'P 1'
_symmetry_Int_Tables_number 1
_cell_length_a 7.752
_cell_length_b 8.014
_cell_length_c 8.014
_cell_angle_alpha 63.21
_cell_angle_beta 61.07
_cell_angle_gamma 61.07
loop_
_symmetry_equiv_pos_as_xyz
'x,y,z'
loop_
_atom_site_label
_atom_site_type_symbol
_atom_site_fract_x
_atom_site_fract_y
_atom_site_fract_z
Li1 Li 0.640 0.610 0.110
Li2 Li 0.360 0.390 0.890
Hf1 Hf 0.500 0.000 0.500
Hf2 Hf 0.000 0.000 0.500
Pa1 Pa 0.000 0.000 0.000
Pa2 Pa 0.000 0.500 0.500
Se1 Se 0.746 0.777 0.731
Se2 Se 0.254 0.769 0.723
Se3 Se 0.746 0.231 0.277
Se4 Se 0.254 0.223 0.269
Se5 Se 0.242 0.759 0.259
Se6 Se 0.741 0.759 0.259
Se7 Se 0.259 0.241 0.741
Se8 Se 0.758 0.241 0.741

Record 15
# GGA-PBE Li3HfPa2Se6, relaxed
# raw formation energy: -1269 meV per atom
# SG: C2/m, No. 12
data_Li3HfPa2Se6
_symmetry_space_group_name_H-M 'P 1'
_symmetry_Int_Tables_number 1
_cell_length_a 3.861
_cell_length_b 8.163
_cell_length_c 8.963
_cell_angle_alpha 106.52
_cell_angle_beta 102.44
_cell_angle_gamma 90.00
loop_
_symmetry_equiv_pos_as_xyz
'x,y,z'
loop_
_atom_site_label
_atom_site_type_symbol
_atom_site_fract_x
_atom_site_fract_y
_atom_site_fract_z
Li1 Li 0.500 0.500 0.000
Li2 Li 0.832 0.167 0.665
Li3 Li 0.168 0.833 0.335
Hf1 Hf 0.500 0.000 0.000
Pa1 Pa 0.832 0.664 0.663
Pa2 Pa 0.168 0.336 0.337
Se1 Se 0.337 0.932 0.674
Se2 Se 0.659 0.596 0.318
Se3 Se 0.663 0.068 0.326
Se4 Se 0.997 0.236 0.993
Se5 Se 0.003 0.764 0.007
Se6 Se 0.341 0.404 0.682

Record 16
# GGA-PBE LiHfPaTc, relaxed
# SG: F-43m, No. 216
data_LiHfPaTc
_symmetry_space_group_name_H-M 'P 1'
_symmetry_Int_Tables_number 1
_cell_length_a 4.769
_cell_length_b 4.769
_cell_length_c 4.769
_cell_angle_alpha 60.00
_cell_angle_beta 60.00
_cell_angle_gamma 60.00
loop_
_symmetry_equiv_pos_as_xyz
'x,y,z'
loop_
_atom_site_label
_atom_site_type_symbol
_atom_site_fract_x
_atom_site_fract_y
_atom_site_fract_z
Pa1 Pa 0.250 0.250 0.250
Hf1 Hf 0.750 0.750 0.750
Tc1 Tc 0.500 0.500 0.500
Li1 Li 0.000 0.000 0.000

Record 17
# GGA-PBE Li4HfPa3Te8, relaxed
# raw formation energy: -832 meV per atom
# SG: R-3m, No. 166
data_Li4HfPa3Te8
_symmetry_space_group_name_H-M 'P 1'
_symmetry_Int_Tables_number 1
_cell_length_a 8.284
_cell_length_b 8.787
_cell_length_c 8.284
_cell_angle_alpha 118.14
_cell_angle_beta 120.00
_cell_angle_gamma 90.00
loop_
_symmetry_equiv_pos_as_xyz
'x,y,z'
loop_
_atom_site_label
_atom_site_type_symbol
_atom_site_fract_x
_atom_site_fract_y
_atom_site_fract_z
Li1 Li 0.500 0.000 0.000
Li2 Li 0.500 0.000 0.500
Li3 Li 0.000 0.000 0.000
Li4 Li 0.000 0.000 0.500
Hf1 Hf 0.000 0.500 0.000
Pa1 Pa 0.500 0.500 0.000
Pa2 Pa 0.500 0.500 0.500
Pa3 Pa 0.000 0.500 0.500
Te1 Te 0.245 0.758 0.013
Te2 Te 0.245 0.758 0.490
Te3 Te 0.243 0.230 0.487
Te4 Te 0.768 0.758 0.013
Te5 Te 0.232 0.242 0.987
Te6 Te 0.757 0.770 0.513
Te7 Te 0.755 0.242 0.510
Te8 Te 0.755 0.242 0.987

Record 18
# GGA-PBE Li3Hf2PaTe6, relaxed
# raw formation energy: -829 meV per atom
# SG: C2/m, No. 12
data_Li3Hf2PaTe6
_symmetry_space_group_name_H-M 'P 1'
_symmetry_Int_Tables_number 1
_cell_length_a 7.019
_cell_length_b 7.019
_cell_length_c 7.657
_cell_angle_alpha 98.76
_cell_angle_beta 98.76
_cell_angle_gamma 120.08
loop_
_symmetry_equiv_pos_as_xyz
'x,y,z'
loop_
_atom_site_label
_atom_site_type_symbol
_atom_site_fract_x
_atom_site_fract_y
_atom_site_fract_z
Li1 Li 0.161 0.839 0.500
Li2 Li 0.839 0.161 0.500
Li3 Li 0.500 0.500 0.500
Hf1 Hf 0.332 0.668 0.000
Hf2 Hf 0.668 0.332 0.000
Pa1 Pa 0.000 0.000 0.000
Te1 Te 0.915 0.568 0.746
Te2 Te 0.735 0.735 0.252
Te3 Te 0.085 0.432 0.254
Te4 Te 0.568 0.915 0.746
Te5 Te 0.265 0.265 0.748
Te6 Te 0.432 0.085 0.254

Record 19
# GGA-PBE LiHf2Pb2, relaxed
# energy relative to the lowest polymorph listed for this composition: 0.000 eV per atom
# SG: P4/mbm, No. 127
data_LiHf2Pb2
_symmetry_space_group_name_H-M 'P 1'
_symmetry_Int_Tables_number 1
_cell_length_a 7.250
_cell_length_b 7.250
_cell_length_c 4.336
_cell_angle_alpha 90.00
_cell_angle_beta 90.00
_cell_angle_gamma 90.00
loop_
_symmetry_equiv_pos_as_xyz
'x,y,z'
loop_
_atom_site_label
_atom_site_type_symbol
_atom_site_fract_x
_atom_site_fract_y
_atom_site_fract_z
Pb1 Pb 0.354 0.854 0.000
Pb2 Pb 0.854 0.646 0.000
Pb3 Pb 0.646 0.146 0.000
Pb4 Pb 0.146 0.354 0.000
Hf1 Hf 0.166 0.666 0.500
Hf2 Hf 0.666 0.834 0.500
Hf3 Hf 0.834 0.334 0.500
Hf4 Hf 0.334 0.166 0.500
Li1 Li 0.000 0.000 0.000
Li2 Li 0.500 0.500 0.000

Record 20
# GGA-PBE LiHfPb2, relaxed
# energy relative to the lowest polymorph listed for this composition: 0.005 eV per atom
# SG: R-3m, No. 166
data_LiHfPb2
_symmetry_space_group_name_H-M 'P 1'
_symmetry_Int_Tables_number 1
_cell_length_a 3.336
_cell_length_b 3.336
_cell_length_c 10.067
_cell_angle_alpha 80.46
_cell_angle_beta 80.46
_cell_angle_gamma 60.00
loop_
_symmetry_equiv_pos_as_xyz
'x,y,z'
loop_
_atom_site_label
_atom_site_type_symbol
_atom_site_fract_x
_atom_site_fract_y
_atom_site_fract_z
Pb1 Pb 0.747 0.747 0.760
Pb2 Pb 0.253 0.253 0.240
Hf1 Hf 0.500 0.500 0.500
Li1 Li 0.000 0.000 0.000

| no. | total moment (μB per formula unit) | E_tot (eV/f.u.) |
| --- | --- | --- |
| 1 | 3.8 | -63.382 |
| 2 | 0.0 | -60.968 |
| 3 | 0.0 | -59.581 |
| 4 | 0.0 | -20.261 |
| 5 | 0.0 | -33.694 |
| 6 | 0.0 | -77.752 |
| 7 | 1.3 | -48.613 |
| 8 | 4.8 | -99.644 |
| 9 | 0.1 | -74.667 |
| 10 | 2.4 | -102.592 |
| 11 | 1.5 | -47.341 |
| 12 | 1.5 | -68.438 |
| 13 | 4.4 | -94.203 |
| 14 | 1.6 | -44.406 |
| 15 | 3.6 | -70.823 |
| 16 | 0.0 | -31.738 |
| 17 | 5.3 | -84.543 |
| 18 | 1.5 | -63.937 |
| 19 | 0.0 | -28.581 |
| 20 | 0.0 | -19.666 |